A relaxed Sm4Zn2Pt crystal. Source: the Alexandria database, functional GGA-PBE.

a = 7.258 Å, b = 10.123 Å, c = 5.016 Å
α = 90.00°, β = 90.00°, γ = 90.00°
Space group Cmmm (No. 65)
Symmetry-distinct sites (fractional):
Sm (0.243, 0.000, 0.000) (multiplicity 4)
Sm (0.250, 0.250, 0.500) (multiplicity 4)
Zn (0.000, 0.257, 0.000) (multiplicity 4)
Pt (0.000, 0.000, 0.500) (multiplicity 2)

Fermi-level density of states: 1.0253 states/eV per atom
Crystal system: orthorhombic
Total energy: -4.3596 eV/atom